First-principles (PBE) data for a geometry-optimized Re3SiRh structure, as listed in Alexandria.

The space group is Pm-3m (No. 221) and the conventional cell measures 4.6671, 4.6671 and 4.6671 Å, with angles of 90.00, 90.00 and 90.00 degrees. Symmetry generates all atoms from Re at (0.0000, 0.0000, 0.5000), Si at (0.5000, 0.5000, 0.5000) and Rh at (0.0000, 0.0000, 0.0000).

As for the density of states at the Fermi level: 1.435 states/eV/atom. The size of the total moment comes out at 0.236 μB/atom. The final energy comes out at -7.58 eV/atom. The calculation puts the formation energy without anion corrections at 56.30 kcal/mol of atoms. As for the offset from the most stable computed form: 1.157 eV per atom.